# FeN2F2

A relaxed structure of FeN2F2 (GGA+U, Alexandria). Values from VASP.

The structure in Quantum ESPRESSO input format:
```
&SYSTEM
  ibrav = 0, nat = 5, ntyp = 3
/
ATOMIC_SPECIES
N 14.01 N.upf
Fe 55.84 Fe.upf
F 19.00 F.upf
ATOMIC_POSITIONS crystal
N 0.500 0.500 0.500
N 0.000 0.000 0.500
Fe 0.000 0.000 0.000
F 0.000 0.500 0.000
F 0.500 0.000 0.000
CELL_PARAMETERS angstrom
-0.768 1.877 3.348
-3.485 1.090 -1.411
-1.723 -3.489 1.561
```

Results
Magnetization ... 6.000 μB per formula unit
Energy above the lowest structure with this stoichiometry ... 1823.0 meV per atom
Symmetry ... P4/mmm, No. 123